[1]
Mn3Cr5 | PBE-GGA | relaxed

## Properties
Theoretical density: 7.65 g cm⁻³
Formation energy: 0.165 eV/atom
SG: Cm (8)

a b c (Å): 7.122 7.122 6.495
angles (deg): 96.21 96.21 143.39
Element x y z (fractional)
Mn1 0.000 0.000 0.000
Mn2 0.110 0.610 0.218
Mn3 0.122 0.499 0.620
Mn4 0.499 0.122 0.620
Mn5 0.610 0.110 0.218
Mn6 0.633 0.633 0.267
Cr1 0.055 0.244 0.299
Cr2 0.086 0.086 0.660
Cr3 0.116 0.757 0.873
Cr4 0.244 0.055 0.299
Cr5 0.383 0.603 0.986
Cr6 0.574 0.574 0.660
Cr7 0.589 0.874 0.463
Cr8 0.603 0.383 0.986
Cr9 0.757 0.116 0.873
Cr10 0.874 0.589 0.463


[2]
Mn4Cr | PBE-GGA | relaxed

## Properties
Theoretical density: 8.22 g cm⁻³
Formation energy: 0.127 eV/atom
SG: I4/m (87)

a b c (Å): 4.325 4.325 4.325
angles (deg): 99.52 99.52 132.02
Element x y z (fractional)
Mn1 0.095 0.698 0.793
Mn2 0.302 0.095 0.397
Mn3 0.698 0.905 0.603
Mn4 0.905 0.302 0.207
Cr1 0.500 0.500 0.000


[3]
MnCr5 | PBE-GGA | relaxed

## Properties
Theoretical density: 6.70 g cm⁻³
Formation energy: 0.452 eV/atom
SG: P6/mmm (191)

a b c (Å): 4.771 4.771 3.960
angles (deg): 90.00 90.00 120.00
Element x y z (fractional)
Mn1 0.000 0.000 0.000
Cr1 0.000 0.500 0.500
Cr2 0.333 0.667 0.000
Cr3 0.500 0.000 0.500
Cr4 0.500 0.500 0.500
Cr5 0.667 0.333 0.000


[4]
Mn5Cr3 | PBE-GGA | relaxed

## Properties
Theoretical density: 7.35 g cm⁻³
Formation energy: 0.236 eV/atom
SG: P6_3/mcm (193)

a b c (Å): 6.875 6.875 4.751
angles (deg): 90.00 90.00 120.00
Element x y z (fractional)
Mn1 0.000 0.235 0.250
Mn2 0.000 0.765 0.750
Mn3 0.235 0.000 0.250
Mn4 0.235 0.235 0.750
Mn5 0.333 0.667 0.000
Mn6 0.333 0.667 0.500
Mn7 0.667 0.333 0.000
Mn8 0.667 0.333 0.500
Mn9 0.765 0.000 0.750
Mn10 0.765 0.765 0.250
Cr1 0.000 0.401 0.750
Cr2 0.000 0.599 0.250
Cr3 0.401 0.000 0.750
Cr4 0.401 0.401 0.250
Cr5 0.599 0.000 0.250
Cr6 0.599 0.599 0.750


no.,electronic total energy (eV/cell)
1,-148.61
2,-45.67
3,-54.57
4,-145.66